Below is a geometry-optimized BeCuSe2 structure, with properties calculated at the PBE level.

Structure (POSCAR):
```
BeCuSe2
1.0
5.114 0.000 0.000
0.000 3.228 0.000
-0.038 0.000 5.362
Be Cu Se
1 1 2
Direct
0.000 0.000 0.000
0.000 0.000 0.500
0.226 0.500 0.773
0.774 0.500 0.227
```

* uncorrected formation energy: -10 kJ/mol of formula units
* final energy: -3.7248 eV per atom
* space group: P2/m, No. 10


Below is a geometry-optimized MnIn2Te structure, with properties calculated at the PBE level.

Structure (POSCAR):
```
MnIn2Te
1.0
3.389 0.000 0.000
0.000 3.389 0.000
0.000 0.000 8.525
Mn In Te
1 2 1
Direct
0.000 0.000 0.000
0.000 0.000 0.496
0.500 0.500 0.783
0.500 0.500 0.169
```

* uncorrected formation energy: 42 kJ/mol of formula units
* final energy: -4.3377 eV per atom
* space group: P4mm, No. 99


Below is a geometry-optimized RhC2Cl structure, with properties calculated at the PBE level.

Structure (POSCAR):
```
RhC2Cl
1.0
0.000 2.822 2.822
2.822 0.000 2.822
2.822 2.822 0.000
Rh C Cl
1 2 1
Direct
0.000 0.000 0.000
0.250 0.250 0.250
0.750 0.750 0.750
0.500 0.500 0.500
```

* uncorrected formation energy: 1051 kJ/mol of formula units
* offset from the most stable computed form: 1.179 eV/atom
* final energy: -4.1884 eV per atom
* space group: Fm-3m, No. 225


Below is a geometry-optimized Er6Tc2Ag structure, with properties calculated at the PBE level.

Structure (POSCAR):
```
Er6Tc2Ag
1.0
-4.698 4.746 5.075
4.698 -4.746 5.075
4.698 4.746 -5.075
Er Tc Ag
12 4 2
Direct
0.021 0.817 0.205
0.233 0.528 0.295
0.233 0.939 0.705
0.281 0.312 0.593
0.281 0.688 0.968
0.388 0.183 0.205
0.612 0.817 0.795
0.719 0.312 0.032
0.719 0.688 0.407
0.767 0.061 0.295
0.767 0.472 0.705
0.979 0.183 0.795
0.000 0.133 0.133
0.000 0.867 0.867
0.382 0.382 0.000
0.618 0.618 0.000
0.000 0.500 0.500
0.500 0.000 0.500
```

* ΔH_f (0 K): -0.134 eV per atom
* final energy: -5.7960 eV per atom
* space group: Immm, No. 71


Below is a geometry-optimized SmHo2ErSe6 structure, with properties calculated at the PBE level.

Structure (POSCAR):
```
SmHo2ErSe6
1.0
3.607 2.083 6.484
-3.607 2.083 6.484
0.000 -4.165 6.484
Sm Ho Er Se
1 2 1 6
Direct
0.000 0.000 0.000
0.300 0.300 0.300
0.803 0.803 0.803
0.497 0.497 0.497
0.092 0.693 0.411
0.206 0.590 0.899
0.411 0.092 0.693
0.590 0.899 0.206
0.693 0.411 0.092
0.899 0.206 0.590
```

* uncorrected formation energy: -1781 kJ/mol of formula units
* final energy: -5.7800 eV per atom
* space group: R3, No. 146


Below is a geometry-optimized YMg2Os structure, with properties calculated at the PBE level.

Structure (POSCAR):
```
YMg2Os
1.0
-2.117 2.117 4.404
2.117 -2.117 4.404
2.117 2.117 -4.404
Y Mg Os
1 2 1
Direct
0.000 0.000 0.000
0.250 0.750 0.500
0.750 0.250 0.500
0.500 0.500 0.000
```

* offset from the most stable computed form: 0.041 eV/atom
* ΔH_f (0 K): 0.026 eV per atom
* final energy: -5.1952 eV per atom
* space group: I4/mmm, No. 139


Below is a geometry-optimized CoSN2 structure, with properties calculated at the PBE level.

Structure (POSCAR):
```
CoSN2
1.0
6.161 -1.360 0.000
6.161 1.360 0.000
-0.836 0.000 3.161
Co S N
1 1 2
Direct
0.000 0.000 0.000
0.301 0.301 0.308
0.581 0.581 0.079
0.899 0.899 0.403
```

* uncorrected formation energy: 293 kJ/mol of formula units
* offset from the most stable computed form: 0.797 eV/atom
* final energy: -6.2111 eV per atom
* space group: Cm, No. 8


Below is a geometry-optimized Tb4Dy3Sc2 structure, with properties calculated at the PBE level.

Structure (POSCAR):
```
Tb4Dy3Sc2
1.0
5.042 -5.797 0.000
5.042 5.797 0.000
-1.453 0.000 9.313
Tb Dy Sc
8 6 4
Direct
0.051 0.808 0.912
0.182 0.378 0.419
0.192 0.949 0.588
0.378 0.182 0.919
0.622 0.818 0.081
0.808 0.051 0.412
0.818 0.622 0.581
0.949 0.192 0.088
0.019 0.312 0.740
0.312 0.019 0.240
0.394 0.606 0.750
0.606 0.394 0.250
0.688 0.981 0.760
0.981 0.688 0.260
0.263 0.535 0.086
0.465 0.737 0.414
0.535 0.263 0.586
0.737 0.465 0.914
```

* offset from the most stable computed form: 0.000 eV/atom
* ΔH_f (0 K): 0.102 eV per atom
* final energy: -4.8968 eV per atom
* space group: C2/c, No. 15


Below is a geometry-optimized Ba2CdBiAu structure, with properties calculated at the PBE level.

Structure (POSCAR):
```
Ba2CdBiAu
1.0
6.212 0.000 0.000
0.000 6.212 0.000
0.000 0.000 5.271
Ba Cd Bi Au
2 1 1 1
Direct
0.000 0.500 0.000
0.500 0.000 0.000
0.000 0.000 0.500
0.500 0.500 0.500
0.000 0.000 0.000
```

* ΔH_f (0 K): -0.507 eV per atom
* final energy: -2.8909 eV per atom
* space group: P4/mmm, No. 123


Below is a geometry-optimized Li2PaTa2S6 structure, with properties calculated at the PBE level.

Structure (POSCAR):
```
Li2PaTa2S6
1.0
3.156 -5.261 0.000
3.156 5.261 0.000
-1.757 0.000 6.386
Li Pa Ta S
2 1 2 6
Direct
0.173 0.827 0.000
0.827 0.173 0.000
0.000 0.000 0.500
0.361 0.639 0.500
0.639 0.361 0.500
0.065 0.427 0.732
0.264 0.264 0.237
0.427 0.065 0.732
0.573 0.935 0.268
0.736 0.736 0.763
0.935 0.573 0.268
```

* uncorrected formation energy: -1327 kJ/mol of formula units
* final energy: -6.8680 eV per atom
* space group: C2/m, No. 12


Below is a geometry-optimized Ni2RuSe structure, with properties calculated at the PBE level.

Structure (POSCAR):
```
Ni2RuSe
1.0
3.719 0.000 0.000
0.000 3.719 0.000
0.000 0.000 3.740
Ni Ru Se
2 1 1
Direct
0.000 0.500 0.000
0.500 0.000 0.000
0.000 0.000 0.500
0.500 0.500 0.500
```

* uncorrected formation energy: 101 kJ/mol of formula units
* final energy: -5.8179 eV per atom
* space group: P4/mmm, No. 123


The following magnetic moment values (in μB per cell) correspond, in order, to the records above: 0.00; 3.37; 0.00; 0.00; 0.00; 0.00; 0.00; 0.00; 0.00; 0.44; 0.00.